Here is RbCoH3 after structural relaxation from Alexandria. Energies are from GGA-PBE.

a = 5.3718 Å, b = 5.3718 Å, c = 5.3718 Å
α = 65.28°, β = 65.28°, γ = 65.28°
Element x y z (fractional)
Rb: 0.0000 0.0000 0.0000
Rb: 0.2564 0.2564 0.2564
Co: 0.5430 0.5430 0.5430
Co: 0.7393 0.7393 0.7393
H: 0.1506 0.6401 0.6401
H: 0.5272 0.5272 0.8433
H: 0.5272 0.8433 0.5272
H: 0.6401 0.1506 0.6401
H: 0.6401 0.6401 0.1506
H: 0.8433 0.5272 0.5272

## Properties
E_tot   -3.517 eV per atom
Space-group type   R3m (160)

=====

Here is CaTc2Se after structural relaxation from Alexandria. Energies are from GGA-PBE.

a = 10.5971 Å, b = 3.5009 Å, c = 4.5251 Å
α = 90.00°, β = 106.33°, γ = 90.00°
Element x y z (fractional)
Ca: 0.0000 0.0000 0.0000
Ca: 0.5000 0.5000 0.0000
Tc: 0.2228 0.0000 0.6407
Tc: 0.2772 0.5000 0.3593
Tc: 0.7228 0.5000 0.6407
Tc: 0.7772 0.0000 0.3593
Se: 0.0000 0.5000 0.5000
Se: 0.5000 0.0000 0.5000

## Properties
E_tot   -6.429 eV per atom
ΔE_f (raw)   125 meV/atom
Space-group type   C2/m (12)

=====

Here is PuPaCu after structural relaxation from Alexandria. Energies are from GGA-PBE.

a = 3.6176 Å, b = 3.6176 Å, c = 9.4929 Å
α = 90.00°, β = 90.00°, γ = 90.00°
Element x y z (fractional)
Pu: 0.0000 0.0000 0.0000
Pu: 0.5000 0.5000 0.5000
Pa: 0.0000 0.0000 0.3300
Pa: 0.5000 0.5000 0.8300
Cu: 0.0000 0.0000 0.6694
Cu: 0.5000 0.5000 0.1694

## Properties
E_tot   -9.203 eV per atom
Space-group type   I4mm (107)
ΔH_f (0 K)   0.3 eV per formula unit
Offset from the most stable computed form   0 meV/atom

=====

Here is Sr4U3GaP8 after structural relaxation from Alexandria. Energies are from GGA-PBE.

a = 8.3138 Å, b = 8.3138 Å, c = 8.3138 Å
α = 59.62°, β = 59.62°, γ = 59.62°
Element x y z (fractional)
Sr: 0.0000 0.0000 0.0000
Sr: 0.0000 0.5000 0.5000
Sr: 0.5000 0.0000 0.5000
Sr: 0.5000 0.5000 0.0000
U: 0.0000 0.0000 0.5000
U: 0.0000 0.5000 0.0000
U: 0.5000 0.0000 0.0000
Ga: 0.5000 0.5000 0.5000
P: 0.2282 0.7385 0.7385
P: 0.2375 0.2375 0.2375
P: 0.2615 0.2615 0.7718
P: 0.2615 0.7718 0.2615
P: 0.7385 0.2282 0.7385
P: 0.7385 0.7385 0.2282
P: 0.7625 0.7625 0.7625
P: 0.7718 0.2615 0.2615

## Properties
E_tot   -6.276 eV per atom
Space-group type   R-3m (166)
ΔH_f (0 K)   -13.5 eV per formula unit

=====

Here is Tb2SmIr after structural relaxation from Alexandria. Energies are from GGA-PBE.

a = 3.5058 Å, b = 3.5058 Å, c = 8.8919 Å
α = 90.00°, β = 90.00°, γ = 90.00°
Element x y z (fractional)
Tb: 0.0000 0.0000 0.1836
Tb: 0.0000 0.0000 0.8164
Sm: 0.5000 0.5000 0.5000
Ir: 0.5000 0.5000 0.0000

## Properties
E_tot   -6.097 eV per atom
Space-group type   P4/mmm (123)
ΔH_f (0 K)   -1.5 eV per formula unit
Offset from the most stable computed form   153 meV/atom

=====

Here is SmHo5Hg6 after structural relaxation from Alexandria. Energies are from GGA-PBE.

a = 5.2434 Å, b = 7.4649 Å, c = 8.3177 Å
α = 90.00°, β = 108.08°, γ = 90.00°
Element x y z (fractional)
Sm: 0.0000 0.0000 0.0000
Ho: 0.0000 0.5000 0.0000
Ho: 0.3317 0.0000 0.6639
Ho: 0.3349 0.5000 0.6698
Ho: 0.6651 0.5000 0.3302
Ho: 0.6683 0.0000 0.3361
Hg: 0.1690 0.2547 0.3378
Hg: 0.1690 0.7453 0.3378
Hg: 0.5000 0.2550 0.0000
Hg: 0.5000 0.7450 0.0000
Hg: 0.8310 0.2547 0.6622
Hg: 0.8310 0.7453 0.6622

## Properties
E_tot   -2.929 eV per atom
Space-group type   P2/m (10)
ΔH_f (0 K)   -5.7 eV per formula unit

=====

no.,magnetic moment (Bohr magnetons per cell)
1,2.0
2,0.0
3,13.4
4,4.3
5,0.0
6,0.2